Model A:
TaMnBr2: relaxed, PBE-GGA.

Cell lengths 3.2376, 3.2376, 30.8790 Å; angles 90.00, 90.00, 120.00 degrees
Space group R-3m (No. 166, hexagonal axes)
Inequivalent atoms, fractional coordinates:
1 Ta 0.0000 0.0000 0.0000 [3 per cell]
2 Mn 0.0000 0.0000 0.5000 [3 per cell]
3 Br 0.0000 0.0000 0.2707 [6 per cell]

## Properties
The total magnetization is 14.0 μB/cell.

---

Model B:
TaMnBr2: relaxed, PBE-GGA.

Cell lengths 3.101, 5.924, 10.004 Å; angles 90.00, 90.00, 90.00 degrees
Space group Cmmm (No. 65)
Inequivalent atoms, fractional coordinates:
1 Ta 0.000 0.000 0.000 [2 per cell]
2 Mn 0.000 0.000 0.500 [2 per cell]
3 Br 0.000 0.500 0.215 [4 per cell]

## Properties
The total magnetization is 8.8 μB/cell.

---

It is model A that is the most stable of them.

---

Model A:
TaMnBr2: relaxed, PBE-GGA.

Cell lengths 6.854, 6.854, 6.854 Å; angles 90.00, 90.00, 90.00 degrees
Space group F-43m (No. 216)
Inequivalent atoms, fractional coordinates:
1 Ta 0.000 0.000 0.000 [4 per cell]
2 Mn 0.250 0.250 0.750 [4 per cell]
3 Br 0.000 0.000 0.500 [4 per cell]
4 Br 0.250 0.250 0.250 [4 per cell]

## Properties
The total magnetization is 7.6 μB/cell.

---

Model B:
TaMnBr2: relaxed, PBE-GGA.

Cell lengths 3.163, 3.163, 8.871 Å; angles 90.00, 90.00, 90.00 degrees
Space group P4mm (No. 99)
Inequivalent atoms, fractional coordinates:
1 Ta 0.000 0.000 0.000 [1 per cell]
2 Mn 0.500 0.500 0.789 [1 per cell]
3 Br 0.000 0.000 0.606 [1 per cell]
4 Br 0.500 0.500 0.195 [1 per cell]

## Properties
The total magnetization is 3.3 μB/cell.

---

It is model B that is the most stable of them.

---

Model A:
Ta2MnBr: relaxed, PBE-GGA.

Cell lengths 3.463, 4.990, 8.590 Å; angles 90.00, 90.00, 90.00 degrees
Space group Cmm2 (No. 35)
Inequivalent atoms, fractional coordinates:
1 Ta 0.000 0.000 0.000 [2 per cell]
2 Ta 0.000 0.500 0.249 [2 per cell]
3 Mn 0.000 0.000 0.483 [2 per cell]
4 Br 0.000 0.500 0.739 [2 per cell]

## Properties
The total magnetization is 6.6 μB/cell.

---

Model B:
Ta2MnBr: relaxed, PBE-GGA.

Cell lengths 3.229, 4.697, 4.708 Å; angles 90.00, 90.00, 90.00 degrees
Space group Pmmm (No. 47)
Inequivalent atoms, fractional coordinates:
1 Ta 0.000 0.000 0.000 [1 per cell]
2 Ta 0.500 0.000 0.500 [1 per cell]
3 Mn 0.000 0.500 0.500 [1 per cell]
4 Br 0.500 0.500 0.000 [1 per cell]

## Properties
The total magnetization is 3.1 μB/cell.

---

It is model A that is the most stable of them.

---

Model A:
MnTcBr: relaxed, PBE-GGA.

Cell lengths 3.036, 3.036, 11.298 Å; angles 90.00, 90.00, 90.00 degrees
Space group I4mm (No. 107)
Inequivalent atoms, fractional coordinates:
1 Mn 0.000 0.000 0.000 [2 per cell]
2 Tc 0.000 0.000 0.371 [2 per cell]
3 Br 0.000 0.000 0.701 [2 per cell]

## Properties
The total magnetization is 4.6 μB/cell.

---

Model B:
MnTcBr: relaxed, PBE-GGA.

Cell lengths 5.994, 5.994, 5.994 Å; angles 90.00, 90.00, 90.00 degrees
Space group F-43m (No. 216)
Inequivalent atoms, fractional coordinates:
1 Mn 0.000 0.000 0.000 [4 per cell]
2 Tc 0.250 0.250 0.250 [4 per cell]
3 Br 0.000 0.000 0.500 [4 per cell]

## Properties
The total magnetization is 10.8 μB/cell.

---

Model C:
MnTcBr: relaxed, PBE-GGA.

Cell lengths 3.1041, 3.1041, 6.0677 Å; angles 90.00, 90.00, 120.00 degrees
Space group P3m1 (No. 156)
Inequivalent atoms, fractional coordinates:
1 Mn 0.0000 0.0000 0.0000 [1 per cell]
2 Tc 0.6667 0.3333 0.2878 [1 per cell]
3 Br 0.3333 0.6667 0.6720 [1 per cell]

## Properties
The total magnetization is 2.6 μB/cell.

---

It is model C that is the most stable of them.

---

Model A:
MnTeBr2: relaxed, PBE-GGA.

Cell lengths 3.8369, 3.8369, 26.3019 Å; angles 90.00, 90.00, 120.00 degrees
Space group R3m (No. 160, hexagonal axes)
Inequivalent atoms, fractional coordinates:
1 Mn 0.0000 0.0000 0.0000 [3 per cell]
2 Te 0.0000 0.0000 0.2709 [3 per cell]
3 Br 0.0000 0.0000 0.5205 [3 per cell]
4 Br 0.0000 0.0000 0.7225 [3 per cell]

## Properties
The total magnetization is 9.0 μB/cell.

---

Model B:
MnTeBr2: relaxed, PBE-GGA.

Cell lengths 3.679, 7.226, 9.385 Å; angles 90.00, 90.00, 90.00 degrees
Space group Cmm2 (No. 35)
Inequivalent atoms, fractional coordinates:
1 Mn 0.000 0.000 0.000 [2 per cell]
2 Te 0.000 0.500 0.204 [2 per cell]
3 Br 0.000 0.000 0.457 [2 per cell]
4 Br 0.000 0.500 0.820 [2 per cell]

## Properties
The total magnetization is 7.8 μB/cell.

---

It is model A that is the most stable of them.

---

Model A:
MnTeBr2: relaxed, PBE-GGA.

Cell lengths 6.669, 9.394, 4.853 Å; angles 90.00, 132.38, 90.00 degrees
Space group C2/m (No. 12)
Inequivalent atoms, fractional coordinates:
1 Mn 0.000 0.000 0.000 [2 per cell]
2 Te 0.000 0.500 0.000 [2 per cell]
3 Br 0.250 0.250 0.500 [4 per cell]

## Properties
The total magnetization is 9.9 μB/cell.

---

Model B:
MnTeBr2: relaxed, PBE-GGA.

Cell lengths 3.702, 5.724, 14.346 Å; angles 90.00, 90.00, 90.00 degrees
Space group Imm2 (No. 44)
Inequivalent atoms, fractional coordinates:
1 Mn 0.000 0.000 0.000 [2 per cell]
2 Te 0.000 0.500 0.364 [2 per cell]
3 Br 0.000 0.000 0.399 [2 per cell]
4 Br 0.000 0.500 0.621 [2 per cell]

## Properties
The total magnetization is 8.5 μB/cell.

---

It is model B that is the most stable of them.

---

Model A:
MnTeBr2: relaxed, PBE-GGA.

Cell lengths 14.714, 3.608, 5.924 Å; angles 90.00, 101.95, 90.00 degrees
Space group Cm (No. 8)
Inequivalent atoms, fractional coordinates:
1 Mn 0.000 0.000 0.000 [2 per cell]
2 Te 0.385 0.000 0.743 [2 per cell]
3 Br 0.125 0.500 0.082 [2 per cell]
4 Br 0.402 0.000 0.258 [2 per cell]

## Properties
The total magnetization is 8.4 μB/cell.

---

Model B:
MnTeBr2: relaxed, PBE-GGA.

Cell lengths 4.007, 5.410, 12.002 Å; angles 90.00, 90.00, 90.00 degrees
Space group Cmmm (No. 65)
Inequivalent atoms, fractional coordinates:
1 Mn 0.000 0.000 0.000 [2 per cell]
2 Te 0.000 0.000 0.500 [2 per cell]
3 Br 0.000 0.500 0.142 [4 per cell]

## Properties
The total magnetization is 10.0 μB/cell.

---

It is model A that is the most stable of them.

---

Model A:
MnTeBr2: relaxed, PBE-GGA.

Cell lengths 4.763, 4.763, 4.561 Å; angles 90.00, 90.00, 90.00 degrees
Space group P4/mmm (No. 123)
Inequivalent atoms, fractional coordinates:
1 Mn 0.000 0.000 0.000 [1 per cell]
2 Te 0.500 0.500 0.000 [1 per cell]
3 Br 0.000 0.500 0.500 [2 per cell]

## Properties
The total magnetization is 4.9 μB/cell.

---

Model B:
MnTeBr2: relaxed, PBE-GGA.

Cell lengths 7.443, 7.443, 7.443 Å; angles 90.00, 90.00, 90.00 degrees
Space group Fm-3m (No. 225)
Inequivalent atoms, fractional coordinates:
1 Mn 0.000 0.000 0.000 [4 per cell]
2 Te 0.000 0.000 0.500 [4 per cell]
3 Br 0.250 0.250 0.250 [8 per cell]

## Properties
The total magnetization is 12.2 μB/cell.

---

It is model A that is the most stable of them.